# TiCr2PbO6

A relaxed TiCr2PbO6 crystal (PBE with a Hubbard U, Alexandria via LeMat-Bulk).

a = 5.3454 Å, b = 5.3454 Å, c = 14.1747 Å
α = 90.00°, β = 90.00°, γ = 120.00°
Last column: nearest neighbours and their distance in Å.
Space group R3 (No. 146, hexagonal axes)
Unique sites:
Ti  0.0000  0.0000  0.0000 (multiplicity 3)  6 O 1.99-2.04
Cr  0.0000  0.0000  0.3050 (multiplicity 3)  6 O 1.99-2.10
Cr  0.0000  0.0000  0.7961 (multiplicity 3)  6 O 2.06
Pb  0.0000  0.0000  0.5352 (multiplicity 3)  3 O 2.38
O  0.0129  0.3363  0.3855 (multiplicity 9)  1 Ti 1.99, 2 Cr 2.06-2.10
O  0.0273  0.5773  0.5656 (multiplicity 9)  2 Cr 1.99-2.06, 1 Ti 2.04

The crystal system is trigonal. The total energy comes out at -7.646 eV/atom. Its total magnetization is 17.99 Bohr magnetons per cell. The volume is 351 Å³/cell.